LaTb2Tl: optimized geometry, PBE.

Structure (CIF):
```
data_LaTb2Tl
_chemical_formula_sum 'La2 Tb4 Tl2'
_cell_length_a 4.843
_cell_length_b 4.918
_cell_length_c 11.268
_cell_angle_alpha 90.00
_cell_angle_beta 102.40
_cell_angle_gamma 90.00
_symmetry_space_group_name_H-M 'P 1 21/m 1'
_symmetry_Int_Tables_number 11
loop_
_symmetry_equiv_pos_as_xyz
'x,y,z'
'-x,-y,-z'
'-x,y+1/2,-z'
'x,-y+1/2,z'
loop_
_atom_site_label
_atom_site_type_symbol
_atom_site_fract_x
_atom_site_fract_y
_atom_site_fract_z
La1 La 0.192 0.250 0.385
Tb1 Tb 0.055 0.750 0.112
Tb2 Tb 0.438 0.750 0.875
Tl1 Tl 0.340 0.250 0.680
```

E above lowest polymorph   0.008 eV per atom
Energy of formation   -0.18 eV/atom

=====

La3Tb3Tl2: optimized geometry, PBE.

Structure (CIF):
```
data_La3Tb3Tl2
_chemical_formula_sum 'La9 Tb9 Tl6'
_cell_length_a 8.9257
_cell_length_b 8.9257
_cell_length_c 10.9808
_cell_angle_alpha 90.00
_cell_angle_beta 90.00
_cell_angle_gamma 120.00
_symmetry_space_group_name_H-M 'R 3 2'
_symmetry_Int_Tables_number 155
_symmetry_space_group_name_Hall 'R 3 2"'
loop_
_atom_site_label
_atom_site_type_symbol
_atom_site_fract_x
_atom_site_fract_y
_atom_site_fract_z
La1 La 0.0000 0.2559 0.0000
Tb1 Tb 0.0000 0.7572 0.5000
Tl1 Tl 0.0000 0.0000 0.2505
```

E above lowest polymorph   0.000 eV per atom
Energy of formation   -0.14 eV/atom

=====

La2Tb3Tl2: optimized geometry, PBE.

Structure (CIF):
```
data_La2Tb3Tl2
_chemical_formula_sum 'La4 Tb6 Tl4'
_cell_length_a 12.212
_cell_length_b 4.725
_cell_length_c 8.444
_cell_angle_alpha 90.00
_cell_angle_beta 109.39
_cell_angle_gamma 90.00
_symmetry_space_group_name_H-M 'C 1 2/m 1'
_symmetry_Int_Tables_number 12
loop_
_symmetry_equiv_pos_as_xyz
'x,y,z'
'-x,-y,-z'
'-x,y,-z'
'x,-y,z'
'x+1/2,y+1/2,z'
'-x+1/2,-y+1/2,-z'
'-x+1/2,y+1/2,-z'
'x+1/2,-y+1/2,z'
loop_
_atom_site_label
_atom_site_type_symbol
_atom_site_fract_x
_atom_site_fract_y
_atom_site_fract_z
La1 La 0.138 0.000 0.289
Tb1 Tb 0.000 0.500 0.500
Tb2 Tb 0.129 0.500 0.946
Tl1 Tl 0.161 0.000 0.707
```

Energy of formation   -0.17 eV/atom

=====

La5TbTl3: optimized geometry, PBE.

Structure (CIF):
```
data_La5TbTl3
_chemical_formula_sum 'La10 Tb2 Tl6'
_cell_length_a 9.7296
_cell_length_b 9.7296
_cell_length_c 7.0547
_cell_angle_alpha 90.00
_cell_angle_beta 90.00
_cell_angle_gamma 120.00
_symmetry_space_group_name_H-M 'P 63/m c m'
_symmetry_Int_Tables_number 193
_symmetry_space_group_name_Hall '-P 6c 2'
loop_
_atom_site_label
_atom_site_type_symbol
_atom_site_fract_x
_atom_site_fract_y
_atom_site_fract_z
La1 La 0.0000 0.3423 0.2500
La2 La 0.3333 0.6667 0.0000
Tb1 Tb 0.0000 0.0000 0.0000
Tl1 Tl 0.0000 0.3200 0.7500
```

Energy of formation   -0.29 eV/atom

=====

LaTb2Tl: optimized geometry, PBE.

Structure (CIF):
```
data_LaTb2Tl
_chemical_formula_sum 'La4 Tb8 Tl4'
_cell_length_a 7.795
_cell_length_b 7.795
_cell_length_c 7.795
_cell_angle_alpha 90.00
_cell_angle_beta 90.00
_cell_angle_gamma 90.00
_symmetry_space_group_name_H-M 'F m -3 m'
_symmetry_Int_Tables_number 225
_symmetry_space_group_name_Hall '-F 4 2 3'
loop_
_atom_site_label
_atom_site_type_symbol
_atom_site_fract_x
_atom_site_fract_y
_atom_site_fract_z
La1 La 0.000 0.000 0.000
Tb1 Tb 0.250 0.250 0.250
Tl1 Tl 0.000 0.000 0.500
```

E above lowest polymorph   0.173 eV per atom
Energy of formation   -0.01 eV/atom

=====

La6Tb5Tl: optimized geometry, PBE.

Structure (CIF):
```
data_La6Tb5Tl
_chemical_formula_sum 'La12 Tb10 Tl2'
_cell_length_a 5.149
_cell_length_b 10.074
_cell_length_c 15.600
_cell_angle_alpha 90.00
_cell_angle_beta 90.00
_cell_angle_gamma 90.00
_symmetry_space_group_name_H-M 'I m m m'
_symmetry_Int_Tables_number 71
_symmetry_space_group_name_Hall '-I 2 2'
loop_
_atom_site_label
_atom_site_type_symbol
_atom_site_fract_x
_atom_site_fract_y
_atom_site_fract_z
La1 La 0.000 0.243 0.000
La2 La 0.000 0.255 0.334
Tb1 Tb 0.000 0.000 0.171
Tb2 Tb 0.000 0.000 0.500
Tb3 Tb 0.000 0.500 0.164
Tl1 Tl 0.000 0.500 0.500
```

Energy of formation   -0.04 eV/atom

=====

LaTb12Tl3: optimized geometry, PBE.

Structure (CIF):
```
data_LaTb12Tl3
_chemical_formula_sum 'La1 Tb12 Tl3'
_cell_length_a 4.883
_cell_length_b 4.883
_cell_length_c 20.102
_cell_angle_alpha 90.00
_cell_angle_beta 90.00
_cell_angle_gamma 90.00
_symmetry_space_group_name_H-M 'P 4/m m m'
_symmetry_Int_Tables_number 123
_symmetry_space_group_name_Hall '-P 4 2'
loop_
_atom_site_label
_atom_site_type_symbol
_atom_site_fract_x
_atom_site_fract_y
_atom_site_fract_z
La1 La 0.000 0.000 0.000
Tb1 Tb 0.000 0.500 0.133
Tb2 Tb 0.000 0.500 0.378
Tb3 Tb 0.500 0.500 0.000
Tb4 Tb 0.500 0.500 0.257
Tb5 Tb 0.500 0.500 0.500
Tl1 Tl 0.000 0.000 0.258
Tl2 Tl 0.000 0.000 0.500
```

Energy of formation   -0.12 eV/atom

=====

LaTb6Tl3: optimized geometry, PBE.

Structure (CIF):
```
data_LaTb6Tl3
_chemical_formula_sum 'La4 Tb24 Tl12'
_cell_length_a 11.585
_cell_length_b 12.792
_cell_length_c 8.615
_cell_angle_alpha 90.00
_cell_angle_beta 90.00
_cell_angle_gamma 90.00
_symmetry_space_group_name_H-M 'C m c 21'
_symmetry_Int_Tables_number 36
loop_
_symmetry_equiv_pos_as_xyz
'x,y,z'
'-x,-y,z+1/2'
'-x,y,z'
'x,-y,z+1/2'
'x+1/2,y+1/2,z'
'-x+1/2,-y+1/2,z+1/2'
'-x+1/2,y+1/2,z'
'x+1/2,-y+1/2,z+1/2'
loop_
_atom_site_label
_atom_site_type_symbol
_atom_site_fract_x
_atom_site_fract_y
_atom_site_fract_z
La1 La 0.000 0.183 0.000
Tb1 Tb 0.000 0.265 0.577
Tb2 Tb 0.000 0.470 0.195
Tb3 Tb 0.173 0.063 0.659
Tb4 Tb 0.245 0.318 0.805
Tl1 Tl 0.000 0.073 0.357
Tl2 Tl 0.189 0.413 0.458
```

E above lowest polymorph   0.052 eV per atom
Energy of formation   -0.14 eV/atom

=====

La3Tb3Tl2: optimized geometry, PBE.

Structure (CIF):
```
data_La3Tb3Tl2
_chemical_formula_sum 'La12 Tb12 Tl8'
_cell_length_a 5.209
_cell_length_b 12.182
_cell_length_c 16.762
_cell_angle_alpha 90.00
_cell_angle_beta 90.00
_cell_angle_gamma 90.00
_symmetry_space_group_name_H-M 'C m c m'
_symmetry_Int_Tables_number 63
_symmetry_space_group_name_Hall '-C 2c 2'
loop_
_atom_site_label
_atom_site_type_symbol
_atom_site_fract_x
_atom_site_fract_y
_atom_site_fract_z
La1 La 0.000 0.047 0.106
La2 La 0.000 0.290 0.250
Tb1 Tb 0.000 0.366 0.042
Tb2 Tb 0.000 0.430 0.750
Tl1 Tl 0.000 0.237 0.622
```

E above lowest polymorph   0.017 eV per atom
Energy of formation   -0.12 eV/atom

=====

LaTb3Tl4: optimized geometry, PBE.

Structure (CIF):
```
data_LaTb3Tl4
_chemical_formula_sum 'La2 Tb6 Tl8'
_cell_length_a 10.931
_cell_length_b 7.670
_cell_length_c 5.465
_cell_angle_alpha 90.00
_cell_angle_beta 90.00
_cell_angle_gamma 90.00
_symmetry_space_group_name_H-M 'P m m a'
_symmetry_Int_Tables_number 51
loop_
_symmetry_equiv_pos_as_xyz
'x,y,z'
'-x,-y,-z'
'-x+1/2,-y,z'
'x+1/2,y,-z'
'x+1/2,-y,-z'
'-x+1/2,y,z'
'-x,y,-z'
'x,-y,z'
loop_
_atom_site_label
_atom_site_type_symbol
_atom_site_fract_x
_atom_site_fract_y
_atom_site_fract_z
La1 La 0.000 0.000 0.000
Tb1 Tb 0.000 0.500 0.000
Tb2 Tb 0.250 0.000 0.497
Tb3 Tb 0.250 0.500 0.497
Tl1 Tl 0.000 0.260 0.500
Tl2 Tl 0.250 0.259 0.996
```

Energy of formation   -0.37 eV/atom

=====

La9Tb4Tl11: optimized geometry, PBE.

Structure (CIF):
```
data_La9Tb4Tl11
_chemical_formula_sum 'La18 Tb8 Tl22'
_cell_length_a 18.099
_cell_length_b 22.629
_cell_length_c 3.580
_cell_angle_alpha 90.00
_cell_angle_beta 90.00
_cell_angle_gamma 90.00
_symmetry_space_group_name_H-M 'C m m m'
_symmetry_Int_Tables_number 65
_symmetry_space_group_name_Hall '-C 2 2'
loop_
_atom_site_label
_atom_site_type_symbol
_atom_site_fract_x
_atom_site_fract_y
_atom_site_fract_z
La1 La 0.000 0.000 0.000
La2 La 0.114 0.245 0.000
La3 La 0.127 0.417 0.000
Tb1 Tb 0.148 0.091 0.000
Tl1 Tl 0.000 0.134 0.500
Tl2 Tl 0.000 0.338 0.500
Tl3 Tl 0.000 0.500 0.500
Tl4 Tl 0.245 0.000 0.500
Tl5 Tl 0.246 0.323 0.500
```

Energy of formation   -0.34 eV/atom

=====

La3Tb5Tl2: optimized geometry, PBE.

Structure (CIF):
```
data_La3Tb5Tl2
_chemical_formula_sum 'La12 Tb20 Tl8'
_cell_length_a 13.244
_cell_length_b 15.457
_cell_length_c 6.605
_cell_angle_alpha 90.00
_cell_angle_beta 90.00
_cell_angle_gamma 90.00
_symmetry_space_group_name_H-M 'I b a m'
_symmetry_Int_Tables_number 72
_symmetry_space_group_name_Hall '-I 2 2c'
loop_
_atom_site_label
_atom_site_type_symbol
_atom_site_fract_x
_atom_site_fract_y
_atom_site_fract_z
La1 La 0.000 0.000 0.250
La2 La 0.127 0.239 0.000
Tb1 Tb 0.000 0.500 0.250
Tb2 Tb 0.106 0.336 0.500
Tb3 Tb 0.243 0.500 0.250
Tl1 Tl 0.139 0.145 0.500
```

Energy of formation   0.04 eV/atom

=====

> The highest energy of formation belongs to which entry?

La3Tb5Tl2